No. 1
VASP calculation (PBE-GGA) on a geometry-optimized BaLaBr structure.

Properties
ΔE to the lowest computed polymorph in meV per atom: 93
Energy relative to the elements, uncorrected in eV per atom: -0.7111
VASP energy in eV per cell: -10.656

Cell lengths 8.1702, 8.1702, 8.1702 Å; angles 152.83, 152.83, 38.80 degrees
Fractional positions:
La 0.6934 0.6934 0.0000
Br 0.3235 0.3235 0.0000
Ba 0.9831 0.9831 0.0000

No. 2
VASP calculation (PBE-GGA) on a geometry-optimized Sr3LaB structure.

Properties
ΔE to the lowest computed polymorph in meV per atom: 1248
ΔH_f (0 K) in eV per formula unit: 8.65
VASP energy in eV per cell: -7.996

Cell lengths 6.1776, 6.1776, 6.1776 Å; angles 90.00, 90.00, 90.00 degrees
Fractional positions:
Sr 0.0000 0.0000 0.5000
Sr 0.5000 0.0000 0.0000
Sr 0.0000 0.5000 0.0000
B 0.5000 0.5000 0.5000
La 0.0000 0.0000 0.0000

No. 3
VASP calculation (PBE-GGA) on a geometry-optimized TbPm4Sm3S8 structure.

Properties
Energy relative to the elements, uncorrected in eV per atom: -2.0226
VASP energy in eV per cell: -103.171

Cell lengths 8.0202, 8.0283, 8.0199 Å; angles 119.97, 120.00, 90.00 degrees
Fractional positions:
S 0.7492 0.7475 0.4983
S 0.2462 0.7446 0.9984
S 0.7538 0.2554 0.5076
S 0.7521 0.7446 0.9984
S 0.2462 0.7446 0.4924
S 0.2508 0.2525 0.5017
S 0.7538 0.2554 0.0016
S 0.2479 0.2554 0.0016
Pm 0.0000 0.0000 0.5000
Pm 0.5000 0.0000 0.0000
Pm 0.0000 0.0000 0.0000
Pm 0.5000 0.0000 0.5000
Tb 0.0000 0.5000 0.0000
Sm 0.5000 0.5000 0.5000
Sm 0.0000 0.5000 0.5000
Sm 0.5000 0.5000 0.0000